YRuW2 | PBEsol | optimized geometry

Calculated values
The magnetization comes out at 0.00 Bohr magnetons per cell. The energy of formation from the pure elements comes out at 0.402 eV/atom. For the excess energy over the best structure of this formula in the dataset, the calculation gives 159 meV/atom.

abc: 5.3531 5.3531 5.3531
angles: 145.74 126.15 65.39
With the nearest neighbours (Å) after each atom.
Fractional coordinates of all 4 atoms:
Y: 0.0000 0.0000 0.0000  2 Ru 2.84, 8 W 2.89-3.16, 2 Y 3.15
Ru: 0.7380 0.2380 0.5000  6 W 2.63-2.91, 2 Y 2.84
W: 0.2749 0.7749 0.5000  2 W 2.60
W: 0.5041 0.5041 0.0000  2 W 2.60, 2 Ru 2.63, 4 Y 2.89

=====

Co8Au | PBEsol | optimized geometry

Calculated values
The magnetization comes out at 12.93 Bohr magnetons per cell. The energy of formation from the pure elements comes out at 0.083 eV/atom.

abc: 5.6030 5.6030 5.6030
angles: 95.73 95.73 143.16
With the nearest neighbours (Å) after each atom.
Fractional coordinates of all 9 atoms:
Co: 0.0000 0.3425 0.3425  11 Co 2.37-2.54, 1 Au 2.57
Co: 0.0000 0.6575 0.6575  11 Co 2.37-2.54, 1 Au 2.57
Co: 0.3228 0.3228 0.6457  8 Co 2.35-2.54, 2 Au 2.58
Co: 0.3228 0.6772 0.0000  8 Co 2.35-2.54, 2 Au 2.58
Co: 0.3425 0.0000 0.3425  11 Co 2.37-2.54, 1 Au 2.57
Co: 0.6575 0.0000 0.6575  11 Co 2.37-2.54, 1 Au 2.57
Co: 0.6772 0.3228 0.0000  8 Co 2.35-2.54, 2 Au 2.58
Co: 0.6772 0.6772 0.3543  8 Co 2.35-2.54, 2 Au 2.58
Au: 0.0000 0.0000 0.0000  12 Co 2.57-2.58

=====

TlIrSe2 | PBEsol | optimized geometry

Calculated values
The magnetization comes out at 0.00 Bohr magnetons per cell. For the raw formation energy, the calculation gives -0.25 eV/atom. For the excess energy over the best structure of this formula in the dataset, the calculation gives 0 meV/atom.

abc: 7.3284 7.3284 7.3284
angles: 30.33 30.33 30.33
With the nearest neighbours (Å) after each atom.
Fractional coordinates of all 4 atoms:
Tl: 0.0000 0.0000 0.0000  6 Se 3.20
Ir: 0.5000 0.5000 0.5000  6 Se 2.51
Se: 0.2232 0.2232 0.2232  3 Ir 2.51
Se: 0.7768 0.7768 0.7768  3 Ir 2.51

=====

Ba3As2 | PBEsol | optimized geometry

Calculated values
The magnetization comes out at 0.00 Bohr magnetons per cell. The energy of formation from the pure elements comes out at -1.043 eV/atom. For the excess energy over the best structure of this formula in the dataset, the calculation gives 0 meV/atom.

abc: 5.5566 5.5566 6.9154
angles: 90.00 90.00 120.00
With the nearest neighbours (Å) after each atom.
Fractional coordinates of all 5 atoms:
Ba: 0.0000 0.0000 0.0000  6 As 3.53, 6 Ba 3.83
Ba: 0.3333 0.6667 0.6985  5 As 3.27-3.56
Ba: 0.6667 0.3333 0.3015  5 As 3.27-3.56
As: 0.3333 0.6667 0.2131  8 Ba 3.27-3.56
As: 0.6667 0.3333 0.7869  8 Ba 3.27-3.56